Record 1
A relaxed SrCa4Se5 crystal. Source: Alexandria, functional GGA-PBE.

Its density of states at the Fermi level is 0.0 states/eV/cell. For the uncorrected energy, the calculation gives -0.3485 Ry per atom. The space group is C2/m (12). As for the uncorrected formation energy: -1959 kJ/mol of formula units.

```
SrCa4Se5
1.0
4.1577 0.0000 0.9497
1.7534 6.9206 1.8998
0.0070 0.0084 9.5450
Sr Ca Se
1 4 5
Cartesian
0.0000 0.0000 0.0000 Sr
2.8501 1.4110 6.6745 Ca
1.5289 2.7412 2.8826 Ca
4.3892 4.1877 9.5120 Ca
3.0681 5.5179 5.7201 Ca
2.4285 6.2417 8.5202 Se
3.4897 0.6872 3.8743 Se
2.2006 2.1811 9.5179 Se
0.8802 3.4645 5.7224 Se
3.7176 4.7478 2.8767 Se
```


Record 2
A relaxed La6Ge3Te crystal. Source: Alexandria, functional GGA-PBE.

Its density of states at the Fermi level is 19.2 states/eV/cell. For the uncorrected energy, the calculation gives -0.3973 Ry per atom. The space group is Cmc2_1 (36). As for the uncorrected formation energy: -723 kJ/mol of formula units.

```
La6Ge3Te
1.0
-1.3391 -7.5154 -1.8239
6.6010 0.4263 -6.6029
4.5275 -2.6813 7.7244
La Ge Te
12 6 2
Cartesian
7.4142 -2.5359 -0.0754 La
6.5824 -6.5366 0.1333 La
6.8689 -4.0726 3.4822 La
7.1132 -6.4608 -3.7433 La
4.1888 -4.6234 7.1794 La
4.2256 -6.5364 2.9677 La
5.9180 -1.2459 -3.1876 La
5.5726 -5.3039 -7.9199 La
2.6912 -3.2260 3.0612 La
2.9354 -5.6143 -4.1643 La
3.4736 -1.7373 -0.4726 La
2.6419 -5.7381 -0.2638 La
8.7356 -5.1285 -1.4905 Ge
7.6209 -9.5533 0.6733 Ge
4.9116 -4.0840 1.0925 Ge
4.5855 -7.3269 -2.1930 Ge
0.4380 -8.0978 -0.0506 Ge
1.5527 -3.6730 -2.2144 Ge
3.5512 -9.6443 3.4108 Te
5.5728 -3.8603 -5.0194 Te
```


Record 3
A relaxed Ba2NaAlPt crystal. Source: Alexandria, functional GGA-PBE.

The value obtained for the formation energy is -0.39 eV/atom. Its density of states at the Fermi level is 5.9 states/eV/cell. For the uncorrected energy, the calculation gives -0.2484 Ry per atom. The space group is P4/mmm (123).

```
Ba2NaAlPt
1.0
6.3175 0.0000 0.0000
0.0000 6.3175 0.0000
0.0000 0.0000 4.8839
Na Ba Pt Al
1 2 1 1
Cartesian
3.1588 3.1588 2.4420 Na
0.0000 3.1588 0.0000 Ba
3.1588 0.0000 0.0000 Ba
0.0000 0.0000 0.0000 Pt
0.0000 0.0000 2.4420 Al
```


Record 4
A relaxed RbSeCl2 crystal. Source: Alexandria, functional GGA-PBE.

Its density of states at the Fermi level is 2.9 states/eV/cell. For the uncorrected energy, the calculation gives -0.1981 Ry per atom. The space group is I-42d (122). As for the uncorrected formation energy: -254 kJ/mol of formula units.

```
RbSeCl2
1.0
-5.3413 0.3222 2.3366
-1.7049 -4.5246 -3.2733
-1.1356 -7.4861 5.7317
Se Rb Cl
2 2 4
Cartesian
-3.5231 -2.1012 -0.4683 Se
-3.1818 -7.0560 0.9950 Se
0.0000 0.0000 0.0000 Rb
-5.0000 -4.6326 3.8000 Rb
-3.2384 -2.2717 2.2230 Cl
-2.6141 -4.6231 -0.0596 Cl
-3.6846 -7.6962 3.5817 Cl
-6.8266 -8.7860 3.8450 Cl
```


Record 5
A relaxed Sc7CoCl12 crystal. Source: Alexandria, functional GGA-PBE.

Its density of states at the Fermi level is 12.1 states/eV/cell. For the uncorrected energy, the calculation gives -0.4021 Ry per atom. The space group is R-3 (148). As for the uncorrected formation energy: -3458 kJ/mol of formula units.

```
Sc7CoCl12
1.0
4.9529 -6.6916 0.0038
4.9529 6.6916 0.0038
-4.0933 0.0000 7.2494
Sc Co Cl
7 1 12
Cartesian
6.4652 0.5309 5.0090 Sc
3.8646 1.3928 7.0920 Sc
4.5824 -1.9237 6.5171 Sc
-0.6527 -0.5309 2.2480 Sc
1.9479 -1.3928 0.1651 Sc
1.2302 1.9237 0.7399 Sc
2.9063 0.0000 3.6285 Sc
0.0000 0.0000 0.0000 Co
4.2792 1.9482 4.4760 Cl
2.3280 -0.5049 6.0388 Cl
4.9618 -1.4433 3.9293 Cl
1.5333 -1.9482 2.7810 Cl
3.4845 0.5049 1.2182 Cl
0.8507 1.4433 3.3277 Cl
-1.3575 -0.9824 4.9230 Cl
4.1501 -3.0917 0.5116 Cl
2.8220 4.0741 1.5753 Cl
7.1701 0.9824 2.3341 Cl
1.6625 3.0917 6.7454 Cl
2.9905 -4.0741 5.6817 Cl
```


Record 6
A relaxed Hg2GeI6 crystal. Source: Alexandria, functional GGA-PBE.

For the uncorrected energy, the calculation gives -0.1387 Ry per atom. The space group is C2/c (15). As for the uncorrected formation energy: -238 kJ/mol of formula units.

```
Hg2GeI6
1.0
-5.6082 4.3824 3.4170
-8.0281 -4.4704 -3.9499
-1.8668 -5.8316 7.9085
Hg Ge I
4 2 12
Cartesian
-7.1587 -6.5858 4.2536 Hg
-4.4956 -1.7558 3.4243 Hg
-8.3444 0.6662 3.1220 Hg
-11.0076 -4.1638 3.9513 Hg
-3.9496 -4.5856 7.4525 Ge
-11.5535 -1.3340 -0.0768 Ge
-8.6225 -4.7655 2.5681 I
-5.1820 -3.1011 0.9715 I
-6.8806 -1.1541 4.8075 I
-10.3212 -2.8185 6.4041 I
-12.5530 -2.2297 2.4075 I
-8.8794 -0.8083 0.6619 I
-2.9502 -3.6899 4.9681 I
-6.6237 -5.1113 6.7137 I
-8.8954 -8.7371 4.9789 I
-2.7023 0.3829 2.8080 I
-6.6078 2.8175 2.3967 I
-12.8009 -6.3025 4.5676 I
```


Record 7
A relaxed Cd6Ag2Ir crystal. Source: Alexandria, functional GGA-PBE.

The value obtained for the formation energy is 0.09 eV/atom. Its density of states at the Fermi level is 2.9 states/eV/cell. For the uncorrected energy, the calculation gives -0.1575 Ry per atom. The space group is C2/m (12).

```
Cd6Ag2Ir
1.0
-2.9871 0.5037 -0.8630
-1.1883 -7.8587 -0.4738
0.1027 3.5481 7.7940
Cd Ag Ir
6 2 1
Cartesian
-2.4311 2.6577 4.4959 Cd
-0.8870 -1.4746 2.2620 Cd
-1.6416 -6.4646 1.9612 Cd
-1.8483 -2.0940 -0.5729 Cd
-3.1857 -2.3323 4.1951 Cd
-2.3272 -5.2610 -0.7639 Cd
-1.3273 -0.0882 4.7920 Ag
-2.7454 -3.7187 1.6651 Ag
0.0000 0.0000 0.0000 Ir
```


Record 8
A relaxed PrNd4Er8 crystal. Source: Alexandria, functional GGA-PBE.

The value obtained for the formation energy is 0.53 eV/atom. Its density of states at the Fermi level is 21.3 states/eV/cell. For the uncorrected energy, the calculation gives -0.3026 Ry per atom. The space group is Pm-3m (221).

```
PrNd4Er8
1.0
-5.3216 1.0719 -9.6172
10.1918 4.0923 1.1573
1.8837 -6.0006 4.6295
Pr Nd Er
1 4 8
Cartesian
6.0378 -0.9542 2.8934 Pr
0.0000 0.0000 0.0000 Nd
5.0959 2.0461 0.5786 Nd
2.4351 2.5821 -4.2300 Nd
-2.6608 0.5359 -4.8086 Nd
5.5124 1.9728 -2.8303 Er
1.2416 -2.8093 -1.0001 Er
0.3429 0.0548 -3.2137 Er
-1.4533 -2.5157 -5.8169 Er
6.4111 -0.8913 -0.6167 Er
3.8680 -0.3790 -5.2126 Er
2.8860 -0.4574 1.3822 Er
8.2073 1.6792 1.9864 Er
```


What is the uncorrected energy in the fourth record?
-0.1981 Ry per atom


What is the uncorrected energy in the first record?
-0.3485 Ry per atom


Please write out number 2 again, unchanged.
A relaxed La6Ge3Te crystal. Source: Alexandria, functional GGA-PBE.

Its density of states at the Fermi level is 19.2 states/eV/cell. For the uncorrected energy, the calculation gives -0.3973 Ry per atom. The space group is Cmc2_1 (36). As for the uncorrected formation energy: -723 kJ/mol of formula units.

```
La6Ge3Te
1.0
-1.3391 -7.5154 -1.8239
6.6010 0.4263 -6.6029
4.5275 -2.6813 7.7244
La Ge Te
12 6 2
Cartesian
7.4142 -2.5359 -0.0754 La
6.5824 -6.5366 0.1333 La
6.8689 -4.0726 3.4822 La
7.1132 -6.4608 -3.7433 La
4.1888 -4.6234 7.1794 La
4.2256 -6.5364 2.9677 La
5.9180 -1.2459 -3.1876 La
5.5726 -5.3039 -7.9199 La
2.6912 -3.2260 3.0612 La
2.9354 -5.6143 -4.1643 La
3.4736 -1.7373 -0.4726 La
2.6419 -5.7381 -0.2638 La
8.7356 -5.1285 -1.4905 Ge
7.6209 -9.5533 0.6733 Ge
4.9116 -4.0840 1.0925 Ge
4.5855 -7.3269 -2.1930 Ge
0.4380 -8.0978 -0.0506 Ge
1.5527 -3.6730 -2.2144 Ge
3.5512 -9.6443 3.4108 Te
5.5728 -3.8603 -5.0194 Te
```